[1]
A relaxed structure of CsPrAgBr5. Source: Alexandria, functional PBE.

Uncorrected formation energy in meV/atom: -1485
Uncorrected energy in eV/cell: -114.92
Density of states at the Fermi level in states/eV/cell: 0.00
Theoretical density in g/cm3: 3.86

Lattice parameters (Å, degrees): 9.709 13.417 11.097 90.00 111.48 90.00
Space group C2/c (No. 15)
Symmetry-distinct sites (fractional):
Cs 0.000 0.154 0.250
Pr 0.000 0.500 0.000
Ag 0.000 0.188 0.750
Br 0.000 0.428 0.250
Br 0.102 0.299 0.595
Br 0.193 0.064 0.933

=====

[2]
A relaxed structure of Cs4PrAg3Br12. Source: Alexandria, functional PBE.

Uncorrected formation energy in meV/atom: -1210
Uncorrected energy in eV/cell: -122.05
Density of states at the Fermi level in states/eV/cell: 14.36
Theoretical density in g/cm3: 4.50

Lattice parameters (Å, degrees): 11.298 11.298 11.298 90.00 90.00 90.00
Space group Im-3m (No. 229)
Symmetry-distinct sites (fractional):
Cs 0.250 0.250 0.250
Pr 0.000 0.000 0.000
Ag 0.000 0.000 0.500
Br 0.000 0.000 0.254
Br 0.000 0.250 0.500

=====

[3]
A relaxed structure of Cs3PrAg2Br8. Source: Alexandria, functional PBE.

Uncorrected formation energy in meV/atom: -1383
Uncorrected energy in eV/cell: -45.78
Density of states at the Fermi level in states/eV/cell: 0.00
Theoretical density in g/cm3: 3.85

Lattice parameters (Å, degrees): 8.0836 8.0836 10.6345 90.00 90.00 120.00
Space group P-3m1 (No. 164)
Symmetry-distinct sites (fractional):
Cs 0.0000 0.0000 0.0000
Cs 0.3333 0.6667 0.6296
Pr 0.0000 0.0000 0.5000
Ag 0.3333 0.6667 0.1902
Br 0.1665 0.3330 0.3369
Br 0.3333 0.6667 0.9524

=====

[4]
A relaxed structure of Cs3PrAg2Br9. Source: Alexandria, functional PBE.

Uncorrected formation energy in meV/atom: -1330
Uncorrected energy in eV/cell: -48.05
Density of states at the Fermi level in states/eV/cell: 7.34
Theoretical density in g/cm3: 4.42

Lattice parameters (Å, degrees): 8.0172 8.0172 9.9552 90.00 90.00 120.00
Space group P-3m1 (No. 164)
Symmetry-distinct sites (fractional):
Cs 0.0000 0.0000 0.0000
Cs 0.3333 0.6667 0.6857
Pr 0.0000 0.0000 0.5000
Ag 0.3333 0.6667 0.1487
Br 0.0000 0.5000 0.0000
Br 0.1701 0.3402 0.3307

=====

[5]
A relaxed structure of Cs2AgPtBr6. Source: Alexandria, functional PBE.

Uncorrected formation energy in meV/atom: -891
Uncorrected energy in eV/cell: -177.30
Density of states at the Fermi level in states/eV/cell: 21.69
Theoretical density in g/cm3: 5.16

Lattice parameters (Å, degrees): 7.6744 7.6744 39.6549 90.00 90.00 120.00
Space group R-3m (No. 166, hexagonal axes)
Symmetry-distinct sites (fractional):
Cs 0.0000 0.0000 0.1211
Cs 0.0000 0.0000 0.2962
Ag 0.0000 0.0000 0.4121
Pt 0.0000 0.0000 0.0000
Pt 0.0000 0.0000 0.5000
Br 0.0130 0.5065 0.7048
Br 0.0155 0.5078 0.1291

=====

[6]
A relaxed structure of CsPu2Ag2Br7. Source: Alexandria, functional PBE.

Uncorrected formation energy in meV/atom: -1105
Uncorrected energy in eV/cell: -120.38
Density of states at the Fermi level in states/eV/cell: 69.74
Theoretical density in g/cm3: 5.80

Lattice parameters (Å, degrees): 5.875 23.107 5.885 90.00 90.00 90.00
Space group Imm2 (No. 44)
Symmetry-distinct sites (fractional):
Cs 0.000 0.000 0.000
Pu 0.000 0.370 0.987
Ag 0.000 0.249 0.553
Br 0.000 0.113 0.507
Br 0.000 0.244 0.050
Br 0.000 0.386 0.491
Br 0.000 0.500 0.991

=====

[7]
A relaxed structure of Cs2PuAg2Br7. Source: Alexandria, functional PBE.

Uncorrected formation energy in meV/atom: -1045
Uncorrected energy in eV/cell: -91.99
Density of states at the Fermi level in states/eV/cell: 27.88
Theoretical density in g/cm3: 5.27

Lattice parameters (Å, degrees): 5.261 5.261 29.254 90.00 90.00 90.00
Space group I4/mmm (No. 139)
Symmetry-distinct sites (fractional):
Cs 0.000 0.000 0.177
Pu 0.000 0.000 0.000
Ag 0.000 0.000 0.394
Br 0.000 0.000 0.302
Br 0.000 0.000 0.500
Br 0.000 0.500 0.072

=====

[8]
A relaxed structure of CsPuAg2Br6. Source: Alexandria, functional PBE.

Uncorrected formation energy in meV/atom: -1103
Uncorrected energy in eV/cell: -167.81
Density of states at the Fermi level in states/eV/cell: 38.42
Theoretical density in g/cm3: 4.25

Lattice parameters (Å, degrees): 15.610 12.402 9.551 90.00 114.93 90.00
Space group C2/c (No. 15)
Symmetry-distinct sites (fractional):
Cs 0.000 0.201 0.250
Pu 0.000 0.247 0.750
Ag 0.232 0.358 0.922
Br 0.091 0.398 0.997
Br 0.095 0.076 0.977
Br 0.154 0.244 0.658